Record 1
First-principles (GGA-PBE) data for a geometry-optimized Y2In8Co structure, as listed in OQMD.

Values from the calculation:
**E_tot**: -45.37 eV/f.u.
**Density**: 7.396 g cm⁻³

Cell lengths 4.6114, 4.6114, 12.1968 Å; angles 90.00, 90.00, 90.00 degrees
Space group P4/mmm (No. 123)
Unique sites:
Y 0.0000 0.0000 0.1939 x2
In 0.0000 0.5000 0.0000 x2
In 0.0000 0.5000 0.3809 x4
In 0.5000 0.5000 0.1929 x2
Co 0.0000 0.0000 0.5000 x1

Record 2
First-principles (GGA-PBE) data for a geometry-optimized HoScIn4 structure, as listed in OQMD.

Values from the calculation:
**E_tot**: -24.23 eV/f.u.
**Density**: 7.686 g cm⁻³

Cell lengths 4.5731, 4.5382, 13.9325 Å; angles 90.00, 90.00, 90.00 degrees
Space group Amm2 (No. 38)
Unique sites:
Ho 0.0000 0.0000 0.0000 x2
Sc 0.0000 0.0000 0.6889 x2
In 0.0000 0.0000 0.3396 x2
In 0.5000 0.0000 0.1706 x2
In 0.5000 0.0000 0.5223 x2
In 0.5000 0.0000 0.8402 x2

Record 3
First-principles (GGA-PBE) data for a geometry-optimized Ac structure, as listed in OQMD.

Values from the calculation:
**Excess energy over the best structure of this formula in the dataset**: 12 meV/atom
**Density**: 8.403 g cm⁻³
**Energy of formation**: 0.01 eV/atom

Cell lengths 3.9810, 3.9810, 5.6609 Å; angles 90.00, 90.00, 90.00 degrees
Space group I4/mmm (No. 139)
Unique sites:
Ac 0.0000 0.0000 0.0000 x2

Record 4
First-principles (GGA-PBE) data for a geometry-optimized ErSnPb structure, as listed in OQMD.

Values from the calculation:
**Excess energy over the best structure of this formula in the dataset**: 0 meV/atom
**Density**: 8.262 g cm⁻³

Cell lengths 7.3465, 7.3465, 7.3465 Å; angles 90.00, 90.00, 90.00 degrees
Space group F-43m (No. 216)
Unique sites:
Er 0.0000 0.0000 0.0000 x4
Sn 0.2500 0.2500 0.2500 x4
Pb 0.0000 0.0000 0.5000 x4

Record 5
First-principles (GGA-PBE) data for a geometry-optimized BaGdAu structure, as listed in OQMD.

Values from the calculation:
**E_tot**: -8.67 eV/f.u.
**Density**: 8.366 g cm⁻³

Cell lengths 7.3078, 7.3078, 7.3078 Å; angles 90.00, 90.00, 90.00 degrees
Space group F-43m (No. 216)
Unique sites:
Ba 0.0000 0.0000 0.0000 x4
Gd 0.2500 0.2500 0.2500 x4
Au 0.2500 0.2500 0.7500 x4

Record 6
First-principles (GGA-PBE) data for a geometry-optimized InCuPtSeS2 structure, as listed in OQMD.

Values from the calculation:
**E_tot**: -25.76 eV/f.u.
**Density**: 6.977 g cm⁻³

Cell lengths 3.7347, 13.0492, 10.0904 Å; angles 90.00, 90.00, 90.00 degrees
Space group Cmcm (No. 63)
Unique sites:
In 0.0000 0.2108 0.2500 x4
Cu 0.0000 0.1372 0.7500 x4
Pt 0.0000 0.5000 0.0000 x4
Se 0.0000 0.4428 0.7500 x4
S 0.0000 0.1163 0.5332 x8

Record 7
First-principles (GGA-PBE) data for a geometry-optimized Dy2Y2ErTm2Ni2Te2 structure, as listed in OQMD.

Values from the calculation:
**Excess energy over the best structure of this formula in the dataset**: 11 meV/atom
**Density**: 8.095 g cm⁻³

Cell lengths 3.8267, 15.5359, 9.5270 Å; angles 90.00, 90.00, 90.00 degrees
Space group Imm2 (No. 44)
Unique sites:
Dy 0.0000 0.1849 0.0000 x4
Y 0.0000 0.3688 0.7991 x4
Er 0.0000 0.5000 0.3804 x2
Tm 0.0000 0.1465 0.6507 x4
Ni 0.0000 0.2628 0.3082 x4
Te 0.0000 0.0000 0.1445 x2
Te 0.0000 0.5000 0.0460 x2

Record 8
First-principles (GGA-PBE) data for a geometry-optimized SnTe2Au structure, as listed in OQMD.

Values from the calculation:
**E_tot**: -12.73 eV/f.u.
**Density**: 9.193 g cm⁻³

Cell lengths 7.4437, 7.4437, 7.4437 Å; angles 90.00, 90.00, 90.00 degrees
Space group F-43m (No. 216)
Unique sites:
Sn 0.0000 0.0000 0.0000 x4
Te 0.0000 0.0000 0.5000 x4
Te 0.2500 0.2500 0.7500 x4
Au 0.2500 0.2500 0.2500 x4

Record 9
First-principles (GGA-PBE) data for a geometry-optimized TbHoSe2F2 structure, as listed in OQMD.

Values from the calculation:
**E_tot**: -37.07 eV/f.u.
**Density**: 8.321 g cm⁻³

Cell lengths 3.8454, 3.8454, 7.0151 Å; angles 90.00, 90.00, 90.00 degrees
Space group P4mm (No. 99)
Unique sites:
Tb 0.0000 0.0000 0.0000 x1
Ho 0.5000 0.5000 0.5673 x1
Se 0.0000 0.0000 0.4261 x1
Se 0.5000 0.5000 0.1446 x1
F 0.0000 0.5000 0.7825 x2

Record 10
First-principles (GGA-PBE) data for a geometry-optimized Li2SiPt3 structure, as listed in OQMD.

Values from the calculation:
**E_tot**: -31.61 eV/f.u.
**Density**: 11.031 g cm⁻³

Cell lengths 5.4120, 5.4120, 11.1671 Å; angles 90.00, 90.00, 120.00 degrees
Space group R-3m (No. 166, hexagonal axes)
Unique sites:
Li 0.0000 0.0000 0.1212 x6
Si 0.0000 0.0000 0.5000 x3
Pt 0.0000 0.5000 0.0000 x9

Record 11
First-principles (GGA-PBE) data for a geometry-optimized KSnW structure, as listed in OQMD.

Values from the calculation:
**Excess energy over the best structure of this formula in the dataset**: 719 meV/atom
**Density**: 5.975 g cm⁻³

Cell lengths 7.2419, 7.2419, 7.2419 Å; angles 90.00, 90.00, 90.00 degrees
Space group F-43m (No. 216)
Unique sites:
K 0.0000 0.0000 0.0000 x4
Sn 0.2500 0.2500 0.7500 x4
W 0.2500 0.2500 0.2500 x4

Record 12
First-principles (GGA-PBE) data for a geometry-optimized HfFeAgGe structure, as listed in OQMD.

Values from the calculation:
**Excess energy over the best structure of this formula in the dataset**: 0 meV/atom
**Density**: 10.363 g cm⁻³

Cell lengths 6.4303, 6.4303, 6.4303 Å; angles 90.00, 90.00, 90.00 degrees
Space group F-43m (No. 216)
Unique sites:
Hf 0.0000 0.0000 0.0000 x4
Fe 0.0000 0.0000 0.5000 x4
Ag 0.2500 0.2500 0.7500 x4
Ge 0.2500 0.2500 0.2500 x4

Question: Which of these has the lowest density?
Answer: KSnW